Record 1
A plane-wave DFT calculation with PBE-GGA was carried out for a geometry-optimized ZnGa6Ir3 structure.

The value obtained for the calculated density is 10.143 g/cm³. As for the energy of formation from the pure elements: -0.25 eV/atom. Its volume is 17.36 A^3/atom.

a b c (Å): 7.9722 7.9722 5.5019
angles (deg): 90.00 90.00 96.81
Last column: nearest neighbours and their distance in Å.
Sites, in units of the cell vectors:
Zn 0.2213 0.7787 0.5000  3 Ga 2.50-2.53, 3 Ir 2.67-2.78
Zn 0.7787 0.2213 0.0000  3 Ga 2.50-2.53, 3 Ir 2.67-2.78
Ga 0.0124 0.9876 0.9121  4 Ir 2.51-2.53, 2 Ga 2.77
Ga 0.0890 0.4879 0.3692  3 Ir 2.49-2.76, 1 Zn 2.53, 1 Ga 2.76
Ga 0.2585 0.7415 0.9480  3 Ir 2.49-2.67, 1 Zn 2.50
Ga 0.2890 0.3424 0.9600  4 Ir 2.55-2.74, 3 Ga 2.76-2.82
Ga 0.3424 0.2890 0.4600  4 Ir 2.55-2.74, 3 Ga 2.76-2.82
Ga 0.4879 0.0890 0.8692  3 Ir 2.49-2.76, 1 Zn 2.53, 1 Ga 2.76
Ga 0.5121 0.9110 0.3692  3 Ir 2.49-2.76, 1 Zn 2.53, 1 Ga 2.76
Ga 0.6576 0.7110 0.9600  4 Ir 2.55-2.74, 3 Ga 2.76-2.82
Ga 0.7110 0.6576 0.4600  4 Ir 2.55-2.74, 3 Ga 2.76-2.82
Ga 0.7415 0.2585 0.4480  3 Ir 2.49-2.67, 1 Zn 2.50
Ga 0.9110 0.5121 0.8692  3 Ir 2.49-2.76, 1 Zn 2.53, 1 Ga 2.76
Ga 0.9876 0.0124 0.4121  4 Ir 2.51-2.53, 2 Ga 2.77
Ir 0.0343 0.2650 0.6854  7 Ga 2.49-2.74, 1 Zn 2.67
Ir 0.2650 0.0343 0.1854  7 Ga 2.49-2.74, 1 Zn 2.67
Ir 0.4199 0.5801 0.2344  7 Ga 2.49-2.76, 1 Zn 2.78
Ir 0.5801 0.4199 0.7344  7 Ga 2.49-2.76, 1 Zn 2.78
Ir 0.7350 0.9657 0.6854  7 Ga 2.49-2.74, 1 Zn 2.67
Ir 0.9657 0.7350 0.1854  7 Ga 2.49-2.74, 1 Zn 2.67


Record 2
A plane-wave DFT calculation with PBE-GGA was carried out for a geometry-optimized CsTlBrF2 structure.

The value obtained for the calculated density is 5.421 g/cm³. The value obtained for the uncorrected formation energy is -1770 meV/atom. Its volume is 27.89 A^3/atom.

a b c (Å): 4.9749 4.9749 5.6336
angles (deg): 90.00 90.00 90.00
Last column: nearest neighbours and their distance in Å.
Sites, in units of the cell vectors:
Cs 0.0000 0.0000 0.0000  4 Br 3.52, 8 F 3.76
Tl 0.5000 0.5000 0.5000  4 F 2.49
Br 0.5000 0.5000 0.0000  2 Tl 2.82
F 0.0000 0.5000 0.5000  2 Tl 2.49
F 0.5000 0.0000 0.5000  2 Tl 2.49


Record 3
A plane-wave DFT calculation with PBE-GGA was carried out for a geometry-optimized Ac3La3Pd2 structure.

The value obtained for the calculated density is 7.679 g/cm³. As for the energy of formation from the pure elements: -0.35 eV/atom. Its volume is 35.43 A^3/atom.

a b c (Å): 7.6481 7.6481 19.0340
angles (deg): 90.00 90.00 149.40
Last column: nearest neighbours and their distance in Å.
Sites, in units of the cell vectors:
Ac 0.0119 0.9881 0.7500  2 Pd 3.78, 7 La 3.80-4.04, 4 Ac 4.04-4.21
Ac 0.1679 0.8321 0.5648  2 Pd 3.15
Ac 0.1679 0.8321 0.9352  2 Pd 3.15
Ac 0.8321 0.1679 0.0648  2 Pd 3.15
Ac 0.8321 0.1679 0.4352  2 Pd 3.15
Ac 0.9881 0.0119 0.2500  2 Pd 3.78, 7 La 3.80-4.04, 4 Ac 4.04-4.21
La 0.2860 0.7140 0.7500  4 Pd 3.09
La 0.4469 0.5531 0.5883  2 Pd 2.96
La 0.4469 0.5531 0.9117  2 Pd 2.96
La 0.5531 0.4469 0.0883  2 Pd 2.96
La 0.5531 0.4469 0.4117  2 Pd 2.96
La 0.7140 0.2860 0.2500  4 Pd 3.09
Pd 0.1907 0.8093 0.1284  4 La 2.96-3.09, 2 Ac 3.15
Pd 0.1907 0.8093 0.3716  4 La 2.96-3.09, 2 Ac 3.15
Pd 0.8093 0.1907 0.6284  4 La 2.96-3.09, 2 Ac 3.15
Pd 0.8093 0.1907 0.8716  4 La 2.96-3.09, 2 Ac 3.15


Record 4
A plane-wave DFT calculation with PBE-GGA was carried out for a geometry-optimized MgGa3Ag6 structure.

The value obtained for the calculated density is 6.200 g/cm³. The distance to the lowest polymorph of the same formula is 1.85 eV/f.u. As for the energy of formation from the pure elements: 0.15 eV/atom. Its volume is 23.59 A^3/atom.

a b c (Å): 9.7893 9.7893 9.7893
angles (deg): 119.06 119.06 119.06
Last column: nearest neighbours and their distance in Å.
Sites, in units of the cell vectors:
Mg 0.0000 0.0000 0.0000  9 Ag 2.80-2.98, 2 Mg 2.87
Ga 0.3514 0.8644 0.8644  4 Ag 2.60-2.72, 2 Ga 2.87
Ga 0.8644 0.3514 0.8644  4 Ag 2.60-2.72, 2 Ga 2.87
Ga 0.8644 0.8644 0.3514  4 Ag 2.60-2.72, 2 Ga 2.87
Ag 0.2538 0.2538 0.9701  2 Ga 2.60-2.71, 1 Mg 2.80, 4 Ag 2.87-2.89
Ag 0.2538 0.9701 0.2538  2 Ga 2.60-2.71, 1 Mg 2.80, 4 Ag 2.87-2.89
Ag 0.4765 0.4765 0.7336  2 Ga 2.61-2.72, 1 Mg 2.80, 4 Ag 2.87-2.89
Ag 0.4765 0.7336 0.4765  2 Ga 2.61-2.72, 1 Mg 2.80, 4 Ag 2.87-2.89
Ag 0.7336 0.4765 0.4765  2 Ga 2.61-2.72, 1 Mg 2.80, 4 Ag 2.87-2.89
Ag 0.9701 0.2538 0.2538  2 Ga 2.60-2.71, 1 Mg 2.80, 4 Ag 2.87-2.89


Record 5
A plane-wave DFT calculation with PBE-GGA was carried out for a geometry-optimized AcPm3Er structure.

The value obtained for the calculated density is 6.982 g/cm³. The distance to the lowest polymorph of the same formula is 1.65 eV/f.u. As for the energy of formation from the pure elements: 0.38 eV/atom. Its volume is 39.44 A^3/atom.

a b c (Å): 12.0913 12.0913 12.0913
angles (deg): 30.12 30.12 30.12
Last column: nearest neighbours and their distance in Å.
Sites, in units of the cell vectors:
Ac 0.1664 0.1664 0.1664  3 Ac 3.63, 6 Pm 3.66-3.71
Ac 0.8336 0.8336 0.8336  3 Ac 3.63, 6 Pm 3.66-3.71
Pm 0.0823 0.7487 0.4059  2 Er 3.43-3.47, 6 Pm 3.58-3.68, 2 Ac 3.66-3.71
Pm 0.2513 0.5941 0.9177  2 Er 3.43-3.47, 6 Pm 3.58-3.68, 2 Ac 3.66-3.71
Pm 0.4059 0.0823 0.7487  2 Er 3.43-3.47, 6 Pm 3.58-3.68, 2 Ac 3.66-3.71
Pm 0.5941 0.9177 0.2513  2 Er 3.43-3.47, 6 Pm 3.58-3.68, 2 Ac 3.66-3.71
Pm 0.7487 0.4059 0.0823  2 Er 3.43-3.47, 6 Pm 3.58-3.68, 2 Ac 3.66-3.71
Pm 0.9177 0.2513 0.5941  2 Er 3.43-3.47, 6 Pm 3.58-3.68, 2 Ac 3.66-3.71
Er 0.3338 0.3338 0.3338  6 Pm 3.43-3.47, 3 Er 3.63
Er 0.6662 0.6662 0.6662  6 Pm 3.43-3.47, 3 Er 3.63


Record 6
A plane-wave DFT calculation with PBE-GGA was carried out for a geometry-optimized Th3Pb2N2 structure.

The value obtained for the calculated density is 10.411 g/cm³. The value obtained for the uncorrected formation energy is -1069 meV/atom. Its volume is 25.94 A^3/atom.

a b c (Å): 6.7924 6.7924 7.9138
angles (deg): 116.75 116.75 34.32
Last column: nearest neighbours and their distance in Å.
Sites, in units of the cell vectors:
Th 0.0000 0.0000 0.0000  2 N 2.35
Th 0.2052 0.2052 0.7801  3 N 2.36-2.37
Th 0.7948 0.7948 0.2199  3 N 2.36-2.37
Pb 0.4402 0.4402 0.6317  1 Pb 3.13, 2 Th 3.31
Pb 0.5598 0.5598 0.3683  1 Pb 3.13, 2 Th 3.31
N 0.1981 0.1981 0.0738  4 Th 2.35-2.37
N 0.8019 0.8019 0.9262  4 Th 2.35-2.37


Record 7
A plane-wave DFT calculation with PBE-GGA was carried out for a geometry-optimized ReAgHPd2 structure.

The value obtained for the calculated density is 12.540 g/cm³. The calculation puts the final energy at -5.1995 eV per atom. Its volume is 13.45 A^3/atom.

a b c (Å): 4.0661 4.0661 4.0682
angles (deg): 90.00 90.00 90.00
Last column: nearest neighbours and their distance in Å.
Sites, in units of the cell vectors:
Re 0.0000 0.0000 0.0000  4 Ag 2.88, 8 Pd 2.88
Ag 0.5000 0.5000 0.0000  2 H 2.03
H 0.5000 0.5000 0.5000  4 Pd 2.03, 2 Ag 2.03
Pd 0.0000 0.5000 0.5000  2 H 2.03
Pd 0.5000 0.0000 0.5000  2 H 2.03


Record 8
A plane-wave DFT calculation with PBE-GGA was carried out for a geometry-optimized ScPdOF2 structure.

The value obtained for the calculated density is 4.718 g/cm³. The distance to the lowest polymorph of the same formula is 5.36 eV/f.u. The value obtained for the uncorrected formation energy is -1142 meV/atom. Its volume is 14.46 A^3/atom.

a b c (Å): 4.2072 4.2072 4.0837
angles (deg): 90.00 90.00 90.00
Last column: nearest neighbours and their distance in Å.
Sites, in units of the cell vectors:
Sc 0.0000 0.0000 0.0000  8 F 2.93, 4 O 2.97
Pd 0.5000 0.5000 0.5000  2 O 2.04, 4 F 2.10
O 0.5000 0.5000 0.0000  2 Pd 2.04
F 0.0000 0.5000 0.5000  2 Pd 2.10
F 0.5000 0.0000 0.5000  2 Pd 2.10


Record 9
A plane-wave DFT calculation with PBE-GGA was carried out for a geometry-optimized YbTlHg2 structure.

The value obtained for the calculated density is 12.349 g/cm³. As for the energy of formation from the pure elements: -0.33 eV/atom. Its volume is 26.17 A^3/atom.

a b c (Å): 5.2903 5.2903 5.2903
angles (deg): 60.00 60.00 60.00
Last column: nearest neighbours and their distance in Å.
Sites, in units of the cell vectors:
Yb 0.0000 0.0000 0.0000  8 Hg 3.24
Tl 0.5000 0.5000 0.5000  8 Hg 3.24
Hg 0.2500 0.2500 0.2500  4 Tl 3.24, 4 Yb 3.24
Hg 0.7500 0.7500 0.7500  4 Tl 3.24, 4 Yb 3.24


Record 10
A plane-wave DFT calculation with PBE-GGA was carried out for a geometry-optimized Mg3IrRh structure.

The value obtained for the calculated density is 5.475 g/cm³. The distance to the lowest polymorph of the same formula is 0.00 eV/f.u. As for the energy of formation from the pure elements: 0.44 eV/atom. Its volume is 22.32 A^3/atom.

a b c (Å): 4.8148 4.8148 4.8148
angles (deg): 90.00 90.00 90.00
Last column: nearest neighbours and their distance in Å.
Sites, in units of the cell vectors:
Mg 0.0000 0.0000 0.5000  2 Ir 2.41
Mg 0.0000 0.5000 0.0000  2 Ir 2.41
Mg 0.5000 0.0000 0.0000  2 Ir 2.41
Ir 0.0000 0.0000 0.0000  6 Mg 2.41
Rh 0.5000 0.5000 0.5000  12 Mg 3.40


Record 11
A plane-wave DFT calculation with PBE-GGA was carried out for a geometry-optimized Ca2PmTmTe4 structure.

The value obtained for the calculated density is 6.065 g/cm³. The value obtained for the uncorrected formation energy is -1452 meV/atom. Its volume is 30.95 A^3/atom.

a b c (Å): 7.6437 4.4049 7.7816
angles (deg): 90.00 109.07 90.00
Last column: nearest neighbours and their distance in Å.
Sites, in units of the cell vectors:
Ca 0.0000 0.0000 0.0000  6 Te 3.19
Ca 0.5000 0.5000 0.0000  6 Te 3.12
Pm 0.0000 0.5000 0.5000  6 Te 3.16
Tm 0.5000 0.0000 0.5000  6 Te 3.09
Te 0.2570 0.0000 0.7493  1 Tm 3.09, 3 Ca 3.12-3.19, 2 Pm 3.16
Te 0.2589 0.5000 0.2560  2 Tm 3.09, 3 Ca 3.12-3.19, 1 Pm 3.16
Te 0.7411 0.5000 0.7440  2 Tm 3.09, 3 Ca 3.12-3.19, 1 Pm 3.16
Te 0.7430 0.0000 0.2507  1 Tm 3.09, 3 Ca 3.12-3.19, 2 Pm 3.16


Record 12
A plane-wave DFT calculation with PBE-GGA was carried out for a geometry-optimized BaCa3Pt structure.

The value obtained for the calculated density is 3.201 g/cm³. The distance to the lowest polymorph of the same formula is 3.57 eV/f.u. As for the energy of formation from the pure elements: 0.25 eV/atom. Its volume is 46.97 A^3/atom.

a b c (Å): 15.3223 15.3223 15.3223
angles (deg): 158.81 158.81 30.14
Last column: nearest neighbours and their distance in Å.
Sites, in units of the cell vectors:
Ba 0.0000 0.0000 0.0000  4 Pt 3.85, 4 Ca 3.94
Ba 0.7500 0.2500 0.5000  4 Ca 3.98
Ca 0.3661 0.1250 0.2411  2 Ca 2.72-2.92
Ca 0.4361 0.4361 0.0000  2 Pt 2.91
Ca 0.5639 0.5639 0.0000  2 Pt 2.91
Ca 0.8750 0.1161 0.2411  2 Ca 2.72-2.92
Ca 0.8750 0.6339 0.7589  2 Ca 2.72-2.92
Ca 0.8839 0.1250 0.7589  2 Ca 2.72-2.92
Pt 0.0887 0.5887 0.5000  2 Ca 2.91
Pt 0.4113 0.9113 0.5000  2 Ca 2.91